# 1
A relaxed Tb7DyCd4 crystal, computed with PBE.

Summary:
Total energy = -3.387 eV/atom
ΔH_f (0 K) = 3 meV/atom

Structure (POSCAR):
```
Tb7DyCd4
1.0
7.3692 -2.8580 0.0000
7.3692 2.8580 0.0000
-5.1643 0.0000 8.2805
Tb Dy Cd
7 1 4
direct
0.0000 0.0000 0.0000 Tb
0.2383 0.2383 0.6943 Tb
0.2948 0.2948 0.1192 Tb
0.4290 0.4290 0.5881 Tb
0.5710 0.5710 0.4119 Tb
0.7052 0.7052 0.8808 Tb
0.7617 0.7617 0.3057 Tb
0.5000 0.5000 0.0000 Dy
0.0418 0.0418 0.7119 Cd
0.1814 0.1814 0.3418 Cd
0.8186 0.8186 0.6582 Cd
0.9582 0.9582 0.2881 Cd
```



# 2
A relaxed Tb2DyCd3 crystal, computed with PBE.

Summary:
Total energy = -3.087 eV/atom
ΔH_f (0 K) = -319 meV/atom

Structure (POSCAR):
```
Tb2DyCd3
1.0
3.7569 0.0000 0.0000
0.0000 3.7569 0.0000
0.0000 0.0000 11.2426
Tb Dy Cd
2 1 3
direct
0.0000 0.0000 0.1671 Tb
0.0000 0.0000 0.8329 Tb
0.0000 0.0000 0.5000 Dy
0.5000 0.5000 0.0000 Cd
0.5000 0.5000 0.3347 Cd
0.5000 0.5000 0.6653 Cd
```



# 3
A relaxed Tb9Dy4Cd11 crystal, computed with PBE.

Summary:
Total energy = -3.159 eV/atom
ΔH_f (0 K) = -236 meV/atom

Structure (POSCAR):
```
Tb9Dy4Cd11
1.0
7.9790 -11.4037 0.0000
7.9790 11.4037 0.0000
0.0000 0.0000 3.5384
Tb Dy Cd
9 4 11
direct
0.0000 0.0000 0.0000 Tb
0.1194 0.6535 0.0000 Tb
0.2934 0.4779 0.0000 Tb
0.3465 0.8806 0.0000 Tb
0.4779 0.2934 0.0000 Tb
0.5221 0.7066 0.0000 Tb
0.6535 0.1194 0.0000 Tb
0.7066 0.5221 0.0000 Tb
0.8806 0.3465 0.0000 Tb
0.0789 0.2493 0.0000 Dy
0.2493 0.0789 0.0000 Dy
0.7507 0.9211 0.0000 Dy
0.9211 0.7507 0.0000 Dy
0.0874 0.4492 0.5000 Cd
0.1300 0.8700 0.5000 Cd
0.2808 0.2808 0.5000 Cd
0.3217 0.6783 0.5000 Cd
0.4492 0.0874 0.5000 Cd
0.5000 0.5000 0.5000 Cd
0.5508 0.9126 0.5000 Cd
0.6783 0.3217 0.5000 Cd
0.7192 0.7192 0.5000 Cd
0.8700 0.1300 0.5000 Cd
0.9126 0.5508 0.5000 Cd
```